[1]
Density functional theory data (meta-GGA SCAN) for a PBEsol-optimized structure of LiCoBr2.

Output
**SG**: Immm, No. 71
**Electronic total energy**: -15.23 eV per atom
**Formation energy (no corrections)**: -0.574 eV per atom

a = 5.170 Å, b = 5.170 Å, c = 5.170 Å
α = 138.69°, β = 100.64°, γ = 93.68°
Fractional coordinates of all 4 atoms:
Li  0.000  0.000  0.000
Co  0.500  0.500  0.000
Br  0.271  0.771  0.500
Br  0.729  0.229  0.500

---

[2]
Density functional theory data (meta-GGA SCAN) for a PBEsol-optimized structure of LiCoBr2.

Output
**SG**: C2/m, No. 12
**Electronic total energy**: -15.32 eV per atom
**Formation energy (no corrections)**: -0.663 eV per atom

a = 4.980 Å, b = 4.980 Å, c = 3.737 Å
α = 107.78°, β = 107.78°, γ = 89.45°
Fractional coordinates of all 4 atoms:
Li  0.000  0.000  0.000
Co  0.500  0.500  0.000
Br  0.000  0.500  0.000
Br  0.500  0.000  0.000

---

[3]
Density functional theory data (meta-GGA SCAN) for a PBEsol-optimized structure of LiCoBr2.

Output
**SG**: Fm-3m, No. 225
**Electronic total energy**: -14.90 eV per atom
**Formation energy (no corrections)**: -0.251 eV per atom

a = 4.649 Å, b = 4.649 Å, c = 4.649 Å
α = 60.00°, β = 60.00°, γ = 60.00°
Fractional coordinates of all 4 atoms:
Li  0.000  0.000  0.000
Co  0.500  0.500  0.500
Br  0.250  0.250  0.250
Br  0.750  0.750  0.750

---

[4]
Density functional theory data (meta-GGA SCAN) for a PBEsol-optimized structure of LiCo2Br.

Output
**SG**: F-43m, No. 216
**Electronic total energy**: -13.53 eV per atom
**Formation energy (no corrections)**: 0.583 eV per atom

a = 4.208 Å, b = 4.208 Å, c = 4.208 Å
α = 60.00°, β = 60.00°, γ = 60.00°
Fractional coordinates of all 4 atoms:
Li  0.000  0.000  0.000
Co  0.500  0.500  0.500
Co  0.750  0.750  0.750
Br  0.250  0.250  0.250

---

> Which of these has the highest formation energy (no corrections)?

LiCo2Br

---

> Among the records above, which one has the highest electronic total energy?

LiCo2Br

---

> Look up the formation energy (no corrections) of the third one.

-0.251 eV per atom